## Tb4CdAg2Au (PBE)

Data for a relaxed Tb4CdAg2Au crystal.

POSCAR file:
```
Tb4CdAg2Au
1.0
-3.885 -3.074 1.503
-2.889 -2.437 -3.538
3.059 -8.452 -0.464
Ag Cd Tb Au
2 1 4 1
Direct
0.257 0.257 0.230 Ag
0.743 0.743 0.770 Ag
0.000 0.000 0.000 Cd
0.380 0.380 0.861 Tb
0.620 0.620 0.139 Tb
0.871 0.871 0.386 Tb
0.129 0.129 0.614 Tb
0.500 0.500 0.500 Au
```

Output
The energy of formation is -350 kJ/mol of formula units. The value obtained for the density of states at the Fermi level is 6.3 states/eV/cell. As for the mass density: 9.78 Mg/m³.



## TbCdAgAu (PBE)

Data for a relaxed TbCdAgAu crystal.

POSCAR file:
```
TbCdAgAu
1.0
-0.388 4.716 -1.448
-3.997 1.498 -2.504
-3.298 2.988 2.163
Ag Au Tb Cd
1 1 1 1
Direct
0.250 0.250 0.250 Ag
0.750 0.750 0.750 Au
0.000 0.000 0.000 Tb
0.500 0.500 0.500 Cd
```

Output
The energy of formation is -185 kJ/mol of formula units. The value obtained for the density of states at the Fermi level is 3.6 states/eV/cell. As for the mass density: 11.17 Mg/m³.



> Which formula does entry 1 have?

Tb4CdAg2Au



Repeat the second record exactly.
## TbCdAgAu (PBE)

Data for a relaxed TbCdAgAu crystal.

POSCAR file:
```
TbCdAgAu
1.0
-0.388 4.716 -1.448
-3.997 1.498 -2.504
-3.298 2.988 2.163
Ag Au Tb Cd
1 1 1 1
Direct
0.250 0.250 0.250 Ag
0.750 0.750 0.750 Au
0.000 0.000 0.000 Tb
0.500 0.500 0.500 Cd
```

Output
The energy of formation is -185 kJ/mol of formula units. The value obtained for the density of states at the Fermi level is 3.6 states/eV/cell. As for the mass density: 11.17 Mg/m³.



> Which value of energy of formation does entry 2 give?

-185 kJ/mol of formula units



> mass density of number 1 (Tb4CdAg2Au)?

9.78 Mg/m³